1.
NdHo5Zn6 | PBE | optimized geometry

abc: 7.988 7.988 7.175
angles: 90.00 90.00 143.21
Fractional positions:
Nd 0.000 0.000 0.000
Ho 0.000 0.000 0.500
Ho 0.332 0.668 0.000
Ho 0.335 0.665 0.500
Ho 0.665 0.335 0.500
Ho 0.668 0.332 0.000
Zn 0.170 0.830 0.256
Zn 0.170 0.830 0.744
Zn 0.500 0.500 0.257
Zn 0.500 0.500 0.743
Zn 0.830 0.170 0.256
Zn 0.830 0.170 0.744

Output
The value obtained for the calculated density is 8247 kg/m³. The density of states at the Fermi level comes out at 14.26 states/eV per cell. For the energy of formation, the calculation gives -333 meV per atom. For the total magnetization, the calculation gives 0.00 μB/f.u. The value obtained for the total energy is -39.30 eV per cell. The symmetry is Cmmm.

=====

2.
Nd4HoZn5 | PBE | optimized geometry

abc: 3.653 3.653 18.363
angles: 90.00 90.00 90.00
Fractional positions:
Nd 0.000 0.000 0.102
Nd 0.000 0.000 0.305
Nd 0.000 0.000 0.695
Nd 0.000 0.000 0.898
Ho 0.000 0.000 0.500
Zn 0.500 0.500 0.000
Zn 0.500 0.500 0.202
Zn 0.500 0.500 0.409
Zn 0.500 0.500 0.591
Zn 0.500 0.500 0.798

Output
The value obtained for the calculated density is 7245 kg/m³. The density of states at the Fermi level comes out at 11.85 states/eV per cell. For the energy of formation, the calculation gives -311 meV per atom. For the total magnetization, the calculation gives 0.00 μB/f.u. The value obtained for the total energy is -33.13 eV per cell. The symmetry is P4/mmm.

=====

3.
Nd4Ho3Zn | PBE | optimized geometry

abc: 3.644 3.644 18.798
angles: 90.00 90.00 90.00
Fractional positions:
Nd 0.000 0.000 0.098
Nd 0.000 0.000 0.367
Nd 0.000 0.000 0.633
Nd 0.000 0.000 0.902
Ho 0.500 0.500 0.235
Ho 0.500 0.500 0.500
Ho 0.500 0.500 0.765
Zn 0.500 0.500 0.000

Output
The value obtained for the calculated density is 7565 kg/m³. The density of states at the Fermi level comes out at 10.41 states/eV per cell. For the energy of formation, the calculation gives -60 meV per atom. For the total magnetization, the calculation gives 0.00 μB/f.u. The value obtained for the total energy is -34.56 eV per cell. The symmetry is P4/mmm.

=====

Among the records above, which one has the lowest calculated density? Nd4HoZn5